(1)
VASP calculation (PBEsol) on Mg2CuSi after structural relaxation.

a = 6.347 Å, b = 6.347 Å, c = 6.347 Å
α = 90.00°, β = 90.00°, γ = 90.00°
Space group F-43m (No. 216)
Inequivalent atoms, fractional coordinates:
Mg1 0.000 0.000 0.000 [4 per cell]
Mg2 0.250 0.250 0.250 [4 per cell]
Cu1 0.250 0.250 0.750 [4 per cell]
Si1 0.000 0.000 0.500 [4 per cell]

(2)
VASP calculation (PBEsol) on Mg14CuSi after structural relaxation.

Computed properties:
ΔE to the lowest computed polymorph	0.0	meV per atom

a = 9.925 Å, b = 6.257 Å, c = 10.698 Å
α = 90.00°, β = 90.00°, γ = 90.00°
Space group Amm2 (No. 38)
Inequivalent atoms, fractional coordinates:
Mg1 0.000 0.000 0.000 [2 per cell]
Mg2 0.000 0.000 0.500 [2 per cell]
Mg3 0.000 0.249 0.245 [4 per cell]
Mg4 0.251 0.000 0.830 [4 per cell]
Mg5 0.254 0.000 0.332 [4 per cell]
Mg6 0.277 0.247 0.575 [8 per cell]
Mg7 0.500 0.249 0.266 [4 per cell]
Cu1 0.500 0.000 0.489 [2 per cell]
Si1 0.500 0.000 0.993 [2 per cell]

(3)
VASP calculation (PBEsol) on MgCuSi2 after structural relaxation.

a = 7.685 Å, b = 3.091 Å, c = 5.446 Å
α = 90.00°, β = 102.39°, γ = 90.00°
Space group C2/m (No. 12)
Inequivalent atoms, fractional coordinates:
Mg1 0.000 0.000 0.000 [2 per cell]
Cu1 0.000 0.500 0.500 [2 per cell]
Si1 0.241 0.000 0.686 [4 per cell]

(4)
VASP calculation (PBEsol) on MgCuSi3 after structural relaxation.

a = 4.764 Å, b = 4.764 Å, c = 4.764 Å
α = 90.00°, β = 90.00°, γ = 90.00°
Space group Pm-3m (No. 221)
Inequivalent atoms, fractional coordinates:
Mg1 0.000 0.000 0.000 [1 per cell]
Cu1 0.500 0.500 0.500 [1 per cell]
Si1 0.000 0.000 0.500 [3 per cell]

(5)
VASP calculation (PBEsol) on Mg2CuSi after structural relaxation.

a = 6.357 Å, b = 6.357 Å, c = 6.357 Å
α = 90.00°, β = 90.00°, γ = 90.00°
Space group Fm-3m (No. 225)
Inequivalent atoms, fractional coordinates:
Mg1 0.250 0.250 0.250 [8 per cell]
Cu1 0.000 0.000 0.000 [4 per cell]
Si1 0.000 0.000 0.500 [4 per cell]

(6)
VASP calculation (PBEsol) on Mg2CuSi after structural relaxation.

a = 9.866 Å, b = 2.948 Å, c = 4.752 Å
α = 90.00°, β = 108.84°, γ = 90.00°
Space group Cm (No. 8)
Inequivalent atoms, fractional coordinates:
Mg1 0.000 0.000 0.000 [2 per cell]
Mg2 0.208 0.000 0.652 [2 per cell]
Cu1 0.255 0.500 0.169 [2 per cell]
Si1 0.444 0.000 0.461 [2 per cell]

(7)
VASP calculation (PBEsol) on SmMg2Cu9 after structural relaxation.

a = 4.9461 Å, b = 4.9461 Å, c = 15.9006 Å
α = 90.00°, β = 90.00°, γ = 120.00°
Space group P6_3/mmc (No. 194)
Inequivalent atoms, fractional coordinates:
Sm1 0.3333 0.6667 0.2500 [2 per cell]
Mg1 0.3333 0.6667 0.0323 [4 per cell]
Cu1 0.0000 0.0000 0.0000 [2 per cell]
Cu2 0.0000 0.0000 0.2500 [2 per cell]
Cu3 0.1680 0.3360 0.6230 [12 per cell]
Cu4 0.3333 0.6667 0.7500 [2 per cell]

(8)
VASP calculation (PBEsol) on MgCuSn after structural relaxation.

a = 6.144 Å, b = 6.144 Å, c = 6.144 Å
α = 90.00°, β = 90.00°, γ = 90.00°
Space group F-43m (No. 216)
Inequivalent atoms, fractional coordinates:
Mg1 0.000 0.000 0.000 [4 per cell]
Cu1 0.250 0.250 0.750 [4 per cell]
Sn1 0.000 0.000 0.500 [4 per cell]

(9)
VASP calculation (PBEsol) on MgCu4Sn after structural relaxation.

a = 6.944 Å, b = 6.944 Å, c = 6.944 Å
α = 90.00°, β = 90.00°, γ = 90.00°
Space group F-43m (No. 216)
Inequivalent atoms, fractional coordinates:
Mg1 0.000 0.000 0.000 [4 per cell]
Cu1 0.125 0.125 0.625 [16 per cell]
Sn1 0.250 0.250 0.250 [4 per cell]

(10)
VASP calculation (PBEsol) on SrMgCu2 after structural relaxation.

a = 7.360 Å, b = 4.238 Å, c = 6.257 Å
α = 90.00°, β = 113.06°, γ = 90.00°
Space group Cm (No. 8)
Inequivalent atoms, fractional coordinates:
Sr1 0.000 0.000 0.000 [2 per cell]
Mg1 0.314 0.500 0.440 [2 per cell]
Cu1 0.043 0.500 0.629 [2 per cell]
Cu2 0.209 0.000 0.627 [2 per cell]

(11)
VASP calculation (PBEsol) on SrMgCu2 after structural relaxation.

a = 6.813 Å, b = 6.813 Å, c = 6.813 Å
α = 90.00°, β = 90.00°, γ = 90.00°
Space group F-43m (No. 216)
Inequivalent atoms, fractional coordinates:
Sr1 0.000 0.000 0.000 [4 per cell]
Mg1 0.250 0.250 0.750 [4 per cell]
Cu1 0.000 0.000 0.500 [4 per cell]
Cu2 0.250 0.250 0.250 [4 per cell]

(12)
VASP calculation (PBEsol) on MgTaCu2 after structural relaxation.

a = 2.891 Å, b = 2.891 Å, c = 6.987 Å
α = 90.00°, β = 90.00°, γ = 90.00°
Space group P4/mmm (No. 123)
Inequivalent atoms, fractional coordinates:
Mg1 0.000 0.000 0.000 [1 per cell]
Ta1 0.000 0.000 0.500 [1 per cell]
Cu1 0.500 0.500 0.250 [2 per cell]

(13)
VASP calculation (PBEsol) on MgTa2Cu after structural relaxation.

a = 2.8256 Å, b = 2.8256 Å, c = 29.0472 Å
α = 90.00°, β = 90.00°, γ = 120.00°
Space group R-3m (No. 166, hexagonal axes)
Inequivalent atoms, fractional coordinates:
Mg1 0.0000 0.0000 0.0000 [3 per cell]
Ta1 0.0000 0.0000 0.2438 [6 per cell]
Cu1 0.0000 0.0000 0.5000 [3 per cell]

(14)
VASP calculation (PBEsol) on MgTa2Cu after structural relaxation.

a = 5.499 Å, b = 8.326 Å, c = 2.834 Å
α = 90.00°, β = 90.00°, γ = 90.00°
Space group Cmmm (No. 65)
Inequivalent atoms, fractional coordinates:
Mg1 0.000 0.000 0.000 [2 per cell]
Ta1 0.250 0.250 0.500 [4 per cell]
Cu1 0.000 0.500 0.000 [2 per cell]

(15)
VASP calculation (PBEsol) on MgTaCu2 after structural relaxation.

a = 6.111 Å, b = 6.111 Å, c = 6.111 Å
α = 90.00°, β = 90.00°, γ = 90.00°
Space group F-43m (No. 216)
Inequivalent atoms, fractional coordinates:
Mg1 0.000 0.000 0.000 [4 per cell]
Ta1 0.250 0.250 0.250 [4 per cell]
Cu1 0.000 0.000 0.500 [4 per cell]
Cu2 0.250 0.250 0.750 [4 per cell]

(16)
VASP calculation (PBEsol) on MgTaCu2 after structural relaxation.

a = 9.788 Å, b = 2.672 Å, c = 4.665 Å
α = 90.00°, β = 106.53°, γ = 90.00°
Space group Cm (No. 8)
Inequivalent atoms, fractional coordinates:
Mg1 0.000 0.000 0.000 [2 per cell]
Ta1 0.289 0.500 0.373 [2 per cell]
Cu1 0.039 0.500 0.520 [2 per cell]
Cu2 0.240 0.000 0.847 [2 per cell]

(17)
VASP calculation (PBEsol) on MgTaCu2 after structural relaxation.

a = 2.7936 Å, b = 2.7936 Å, c = 26.6647 Å
α = 90.00°, β = 90.00°, γ = 120.00°
Space group R-3m (No. 166, hexagonal axes)
Inequivalent atoms, fractional coordinates:
Mg1 0.0000 0.0000 0.0000 [3 per cell]
Ta1 0.0000 0.0000 0.5000 [3 per cell]
Cu1 0.0000 0.0000 0.2502 [6 per cell]

(18)
VASP calculation (PBEsol) on MgTaCu3 after structural relaxation.

a = 4.248 Å, b = 4.248 Å, c = 4.248 Å
α = 90.00°, β = 90.00°, γ = 90.00°
Space group Pm-3m (No. 221)
Inequivalent atoms, fractional coordinates:
Mg1 0.000 0.000 0.000 [1 per cell]
Ta1 0.500 0.500 0.500 [1 per cell]
Cu1 0.000 0.000 0.500 [3 per cell]

(19)
VASP calculation (PBEsol) on Mg2CuTc after structural relaxation.

Computed properties:
ΔE to the lowest computed polymorph	0.0	meV per atom

a = 2.737 Å, b = 3.824 Å, c = 5.771 Å
α = 90.00°, β = 90.00°, γ = 90.00°
Space group Pmmm (No. 47)
Inequivalent atoms, fractional coordinates:
Mg1 0.000 0.000 0.247 [2 per cell]
Cu1 0.500 0.500 0.000 [1 per cell]
Tc1 0.500 0.500 0.500 [1 per cell]

(20)
VASP calculation (PBEsol) on MgCuTc after structural relaxation.

a = 3.696 Å, b = 3.705 Å, c = 12.319 Å
α = 90.00°, β = 90.00°, γ = 90.00°
Space group Fmm2 (No. 42)
Inequivalent atoms, fractional coordinates:
Mg1 0.000 0.000 0.000 [4 per cell]
Cu1 0.000 0.000 0.333 [4 per cell]
Tc1 0.000 0.000 0.678 [4 per cell]

(21)
VASP calculation (PBEsol) on MgCu3Tc after structural relaxation.

a = 4.547 Å, b = 4.547 Å, c = 4.547 Å
α = 90.00°, β = 90.00°, γ = 90.00°
Space group Pm-3m (No. 221)
Inequivalent atoms, fractional coordinates:
Mg1 0.000 0.000 0.000 [1 per cell]
Cu1 0.000 0.500 0.500 [3 per cell]
Tc1 0.500 0.500 0.500 [1 per cell]

(22)
VASP calculation (PBEsol) on Mg2CuTc after structural relaxation.

Computed properties:
ΔE to the lowest computed polymorph	36.6	meV per atom

a = 2.700 Å, b = 4.124 Å, c = 5.513 Å
α = 90.00°, β = 90.00°, γ = 90.00°
Space group Pmm2 (No. 25)
Inequivalent atoms, fractional coordinates:
Mg1 0.000 0.000 0.000 [1 per cell]
Mg2 0.500 0.500 0.289 [1 per cell]
Cu1 0.500 0.500 0.754 [1 per cell]
Tc1 0.000 0.000 0.520 [1 per cell]

(23)
VASP calculation (PBEsol) on Mg2CuTe after structural relaxation.

Computed properties:
ΔE to the lowest computed polymorph	0.0	meV per atom

a = 4.1265 Å, b = 4.1265 Å, c = 17.7821 Å
α = 90.00°, β = 90.00°, γ = 120.00°
Space group R-3m (No. 166, hexagonal axes)
Inequivalent atoms, fractional coordinates:
Mg1 0.0000 0.0000 0.2365 [6 per cell]
Cu1 0.0000 0.0000 0.5000 [3 per cell]
Te1 0.0000 0.0000 0.0000 [3 per cell]

(24)
VASP calculation (PBEsol) on Mg2CuTe after structural relaxation.

Computed properties:
ΔE to the lowest computed polymorph	104.1	meV per atom

a = 4.210 Å, b = 4.221 Å, c = 8.745 Å
α = 90.00°, β = 90.00°, γ = 90.00°
Space group Immm (No. 71)
Inequivalent atoms, fractional coordinates:
Mg1 0.000 0.000 0.250 [4 per cell]
Cu1 0.000 0.500 0.000 [2 per cell]
Te1 0.000 0.500 0.500 [2 per cell]

(25)
VASP calculation (PBEsol) on Mg3TlCu after structural relaxation.

a = 5.230 Å, b = 5.230 Å, c = 5.230 Å
α = 90.00°, β = 90.00°, γ = 90.00°
Space group Pm-3m (No. 221)
Inequivalent atoms, fractional coordinates:
Mg1 0.000 0.000 0.500 [3 per cell]
Tl1 0.000 0.000 0.000 [1 per cell]
Cu1 0.500 0.500 0.500 [1 per cell]

(26)
VASP calculation (PBEsol) on MgTl2CuW after structural relaxation.

a = 5.146 Å, b = 5.146 Å, c = 4.520 Å
α = 90.00°, β = 90.00°, γ = 90.00°
Space group P4/mmm (No. 123)
Inequivalent atoms, fractional coordinates:
Mg1 0.000 0.000 0.000 [1 per cell]
Tl1 0.000 0.500 0.000 [2 per cell]
Cu1 0.000 0.000 0.500 [1 per cell]
W1 0.500 0.500 0.500 [1 per cell]

(27)
VASP calculation (PBEsol) on YMg2Cu9 after structural relaxation.

a = 4.9389 Å, b = 4.9389 Å, c = 23.6863 Å
α = 90.00°, β = 90.00°, γ = 120.00°
Space group R-3m (No. 166, hexagonal axes)
Inequivalent atoms, fractional coordinates:
Y1 0.0000 0.0000 0.0000 [3 per cell]
Mg1 0.0000 0.0000 0.1447 [6 per cell]
Cu1 0.0000 0.0000 0.3332 [6 per cell]
Cu2 0.0000 0.0000 0.5000 [3 per cell]
Cu3 0.0025 0.5012 0.9155 [18 per cell]

(28)
VASP calculation (PBEsol) on Y3Mg2Cu after structural relaxation.

a = 6.6277 Å, b = 6.6277 Å, c = 12.4035 Å
α = 90.00°, β = 90.00°, γ = 120.00°
Space group R-3m (No. 166, hexagonal axes)
Inequivalent atoms, fractional coordinates:
Y1 0.0000 0.5000 0.0000 [9 per cell]
Mg1 0.0000 0.0000 0.1162 [6 per cell]
Cu1 0.0000 0.0000 0.5000 [3 per cell]

Calculated values (eV per atom) of final energy for the records, taken in order: -3.2454 -2.0978 -4.3198 -3.2311 -3.3748 -3.3902 -4.1252 -3.6289 -4.0298 -3.0589 -2.7655 -5.6867 -7.4484 -7.4306 -5.3189 -5.5840 -5.5272 -4.2456 -4.4973 -5.5536 -3.9933 -4.4607 -2.9718 -2.8677 -1.7855 -3.2925 -4.2761 -4.6206.
Calculated values (states/eV/f.u.) of DOS(E_F) for the records, taken in order: 1.54 6.32 1.66 2.77 0.92 1.52 5.38 1.02 0.82 1.81 1.93 2.57 3.34 4.00 2.75 2.00 1.87 4.88 2.19 1.21 6.14 3.57 0.99 1.68 1.74 3.12 4.89 6.41.